DFT (PBE) results for a relaxed structure of Al2PN.

Results
Energy relative to the lowest polymorph listed for this composition   0 meV per atom
Energy relative to the elements, uncorrected   -3.37 eV per formula unit
Crystal system   tetragonal
N(E_F)   0.00 states/eV/f.u.

Geometry as extended XYZ:
```
8
Lattice="4.972 0.000 0.000 0.000 4.972 0.000 2.486 2.486 4.816" Properties=species:S:1:pos:R:3 pbc="T T T"
P 0.000 0.000 0.000
P 4.972 2.486 2.408
Al 3.384 1.243 1.204
Al 1.589 3.729 1.204
Al 3.729 4.075 3.612
Al 6.215 5.870 3.612
N 2.486 2.486 0.000
N 2.486 4.972 2.408
```